(1)
The following is a PBE-GGA calculation of a relaxed structure of VGaGe2, from the Alexandria database.

Total moment   0.0 μB per formula unit
Electronic total energy   -38.30 eV per cell

Geometry as POSCAR:
```
VGaGe2
1.0
-3.035 3.035 4.983
3.035 -3.035 4.983
3.035 3.035 -4.983
V Ga Ge
2 2 4
Direct
0.000 0.000 0.000
0.750 0.250 0.500
0.250 0.750 0.500
0.500 0.500 0.000
0.113 0.625 0.988
0.375 0.363 0.488
0.637 0.125 0.012
0.875 0.887 0.512
```


(2)
The following is a PBE-GGA calculation of a relaxed structure of V12Ga5Ge2, from the Alexandria database.

Total moment   0.0 μB per formula unit
Electronic total energy   -135.14 eV per cell

Geometry as POSCAR:
```
V12Ga5Ge2
1.0
5.538 -3.960 0.000
5.538 3.960 0.000
-0.266 0.000 6.244
V Ga Ge
12 5 2
Direct
0.056 0.056 0.215
0.063 0.558 0.709
0.124 0.680 0.109
0.320 0.876 0.891
0.362 0.362 0.397
0.442 0.937 0.291
0.558 0.063 0.709
0.638 0.638 0.603
0.680 0.124 0.109
0.876 0.320 0.891
0.937 0.442 0.291
0.944 0.944 0.785
0.169 0.169 0.600
0.263 0.263 0.018
0.500 0.500 0.000
0.737 0.737 0.982
0.831 0.831 0.400
0.250 0.750 0.500
0.750 0.250 0.500
```


(3)
The following is a PBE-GGA calculation of a relaxed structure of VGaGe2, from the Alexandria database.

Total moment   2.0 μB per formula unit
Electronic total energy   -20.69 eV per cell

Geometry as POSCAR:
```
VGaGe2
1.0
4.252 0.000 0.000
0.000 4.252 0.000
0.000 0.000 3.604
V Ga Ge
1 1 2
Direct
0.000 0.000 0.000
0.500 0.500 0.000
0.000 0.500 0.500
0.500 0.000 0.500
```


(4)
The following is a PBE-GGA calculation of a relaxed structure of VGaGe, from the Alexandria database.

Total moment   0.0 μB per formula unit
Electronic total energy   -33.59 eV per cell
Energy relative to the lowest polymorph listed for this composition   0.000 eV per atom

Geometry as POSCAR:
```
VGaGe
1.0
4.568 -1.670 0.000
4.568 1.670 0.000
-2.759 0.000 6.365
V Ga Ge
2 2 2
Direct
0.108 0.108 0.168
0.892 0.892 0.832
0.157 0.157 0.586
0.843 0.843 0.414
0.380 0.380 0.125
0.620 0.620 0.875
```


(5)
The following is a PBE-GGA calculation of a relaxed structure of VGaGe3, from the Alexandria database.

Total moment   0.1 μB per formula unit
Electronic total energy   -24.86 eV per cell
Energy relative to the lowest polymorph listed for this composition   0.000 eV per atom

Geometry as POSCAR:
```
VGaGe3
1.0
4.776 0.000 0.000
0.000 4.776 0.000
0.000 0.000 4.776
V Ga Ge
1 1 3
Direct
0.000 0.000 0.000
0.500 0.500 0.500
0.000 0.000 0.500
0.000 0.500 0.000
0.500 0.000 0.000
```


(6)
The following is a PBE-GGA calculation of a relaxed structure of VGaGe2, from the Alexandria database.

Total moment   0.0 μB per formula unit
Electronic total energy   -21.35 eV per cell

Geometry as POSCAR:
```
VGaGe2
1.0
1.428 0.825 9.444
-1.428 0.825 9.444
0.000 -1.649 9.444
V Ga Ge
1 1 2
Direct
0.000 0.000 0.000
0.500 0.500 0.500
0.406 0.406 0.406
0.594 0.594 0.594
```


(7)
The following is a PBE-GGA calculation of a relaxed structure of V4Ga3Ge, from the Alexandria database.

Total moment   0.0 μB per formula unit
Electronic total energy   -97.19 eV per cell

Geometry as POSCAR:
```
V4Ga3Ge
1.0
5.015 0.000 0.000
0.000 10.029 0.000
0.000 0.000 5.015
V Ga Ge
8 6 2
Direct
0.250 0.005 0.250
0.250 0.250 0.750
0.250 0.495 0.250
0.250 0.750 0.749
0.750 0.250 0.251
0.750 0.505 0.750
0.750 0.750 0.250
0.750 0.995 0.750
0.250 0.000 0.750
0.250 0.500 0.750
0.250 0.750 0.249
0.750 0.000 0.250
0.750 0.250 0.751
0.750 0.500 0.250
0.250 0.250 0.250
0.750 0.750 0.750
```


(8)
The following is a PBE-GGA calculation of a relaxed structure of VGa2Ge2, from the Alexandria database.

Total moment   0.0 μB per formula unit
Electronic total energy   -46.84 eV per cell

Geometry as POSCAR:
```
VGa2Ge2
1.0
6.710 0.000 0.000
0.000 6.710 0.000
0.000 0.000 3.755
V Ga Ge
2 4 4
Direct
0.000 0.000 0.000
0.500 0.500 0.000
0.165 0.335 0.500
0.335 0.835 0.500
0.665 0.165 0.500
0.835 0.665 0.500
0.145 0.645 0.000
0.355 0.145 0.000
0.645 0.855 0.000
0.855 0.355 0.000
```


electronic total energy of number 2 (V12Ga5Ge2)?
-135.14 eV per cell